a:
TiSn3S PBE-GGA relaxed; space-group type = Pm-3m, No. 221; crystal system = cubic
1.0
-0.733 4.769 -1.830
-4.939 -1.133 -0.974
-1.302 1.614 4.725
S Sn Ti
1 3 1
direct
0.000 0.000 0.000
0.000 0.500 0.000
0.000 0.000 0.500
0.500 0.000 0.000
0.500 0.500 0.500

=====

b:
TiSn3S PBE-GGA relaxed; space-group type = Pm-3m, No. 221; crystal system = cubic
1.0
5.307 0.000 0.000
0.000 5.307 0.000
0.000 0.000 5.307
S Sn Ti
1 3 1
direct
0.500 0.500 0.500
0.000 0.500 0.000
0.000 0.000 0.500
0.500 0.000 0.000
0.000 0.000 0.000

=====

Most favorable first, least favorable last: b, a

=====

a:
Tl2Sn2S3 PBE-GGA relaxed; space-group type = C2/c, No. 15; crystal system = monoclinic
1.0
8.341 0.081 0.013
4.258 7.173 0.013
1.743 1.004 6.887
Tl Sn S
4 4 6
direct
0.231 0.016 0.484
0.984 0.769 0.016
0.769 0.984 0.516
0.016 0.231 0.984
0.741 0.495 0.541
0.505 0.259 0.959
0.259 0.505 0.459
0.495 0.741 0.041
0.640 0.809 0.310
0.191 0.360 0.190
0.360 0.191 0.690
0.809 0.640 0.810
0.593 0.407 0.250
0.407 0.593 0.750

=====

b:
Tl2Sn2S3 PBE-GGA relaxed; space-group type = C2/m, No. 12; crystal system = monoclinic
1.0
-2.046 2.657 1.593
-3.104 -4.803 4.029
7.997 2.084 2.469
Tl Sn S
2 2 3
direct
0.874 0.740 0.747
0.126 0.260 0.253
0.622 0.784 0.244
0.378 0.216 0.756
0.000 0.500 0.000
0.225 0.725 0.449
0.775 0.275 0.551

=====

c:
Tl2Sn2S3 PBE-GGA relaxed; space-group type = P2_1/c, No. 14; crystal system = monoclinic
1.0
-0.709 7.307 -0.900
-9.667 -1.059 -0.984
-4.783 0.189 5.304
Tl Sn S
4 4 6
direct
0.334 0.063 0.181
0.166 0.563 0.181
0.834 0.437 0.819
0.666 0.937 0.819
0.684 0.480 0.329
0.184 0.020 0.671
0.816 0.980 0.329
0.316 0.520 0.671
0.500 0.500 0.000
0.000 0.000 0.000
0.976 0.229 0.330
0.476 0.271 0.670
0.524 0.729 0.330
0.024 0.771 0.670

=====

Most favorable first, least favorable last: a, c, b

=====

a:
Tl2SnS PBE-GGA relaxed; space-group type = I-42d, No. 122; crystal system = tetragonal
1.0
-2.716 -3.191 5.000
-3.711 -3.375 -4.170
1.493 -7.943 -0.002
S Tl Sn
2 4 2
direct
0.500 0.500 0.000
0.250 0.750 0.500
0.609 0.125 0.250
0.141 0.625 0.250
0.375 0.391 0.750
0.875 0.859 0.750
0.000 0.000 0.000
0.750 0.250 0.500

=====

b:
Tl2SnS PBE-GGA relaxed; space-group type = R-3m, No. 166; crystal system = trigonal
1.0
3.788 0.000 0.000
1.894 3.281 0.000
1.894 1.094 9.893
S Tl Sn
1 2 1
direct
0.500 0.500 0.500
0.104 0.104 0.687
0.896 0.896 0.313
0.000 0.000 0.000

=====

Most favorable first, least favorable last: b, a

=====

a:
TlSn2S4 PBE-GGA relaxed; space-group type = Pnma, No. 62; crystal system = orthorhombic
1.0
-1.495 5.591 -2.709
-3.561 -4.289 -6.887
-13.741 -0.179 7.215
Tl Sn S
4 8 16
direct
0.993 0.250 0.262
0.507 0.250 0.762
0.007 0.750 0.738
0.493 0.750 0.238
0.403 0.250 0.070
0.097 0.250 0.570
0.597 0.750 0.930
0.903 0.750 0.430
0.000 0.500 0.000
0.500 0.000 0.500
0.000 0.000 0.000
0.500 0.500 0.500
0.781 0.250 0.065
0.719 0.250 0.565
0.219 0.750 0.935
0.281 0.750 0.435
0.295 0.250 0.433
0.205 0.250 0.933
0.705 0.750 0.567
0.795 0.750 0.067
0.263 0.473 0.137
0.237 0.027 0.637
0.737 0.973 0.863
0.763 0.527 0.363
0.737 0.527 0.863
0.763 0.973 0.363
0.263 0.027 0.137
0.237 0.473 0.637

=====

b:
TlSn2S4 PBE-GGA relaxed; space-group type = P1, No. 1; crystal system = triclinic
1.0
8.972 -0.192 1.072
-0.915 7.551 -0.270
-2.965 -3.968 5.778
Tl Sn S
2 4 8
direct
0.202 0.688 0.509
0.009 0.046 0.968
0.629 0.376 0.738
0.629 0.892 0.253
0.626 0.377 0.250
0.237 0.377 0.855
0.798 0.135 0.196
0.432 0.614 0.278
0.799 0.604 0.666
0.779 0.114 0.669
0.438 0.129 0.307
0.432 0.152 0.816
0.443 0.622 0.818
0.797 0.624 0.176

=====

Most favorable first, least favorable last: b, a

=====

a:
Tl2SnS2 PBE-GGA relaxed; space-group type = Pbam, No. 55; crystal system = orthorhombic
1.0
-2.303 1.559 -2.683
2.933 -3.150 -4.347
-7.628 -8.958 1.343
Tl Sn S
4 2 4
direct
0.000 0.568 0.162
0.000 0.432 0.838
0.000 0.068 0.338
0.000 0.932 0.662
0.000 0.000 0.000
0.000 0.500 0.500
0.500 0.689 0.359
0.500 0.311 0.641
0.500 0.189 0.141
0.500 0.811 0.859

=====

b:
Tl2SnS2 PBE-GGA relaxed; space-group type = P4/mbm, No. 127; crystal system = tetragonal
1.0
-7.516 0.979 -1.366
-1.664 -5.220 5.412
-0.142 3.319 3.158
S Tl Sn
4 4 2
direct
0.324 0.824 0.000
0.824 0.676 0.000
0.676 0.176 0.000
0.176 0.324 0.000
0.145 0.645 0.500
0.645 0.855 0.500
0.855 0.355 0.500
0.355 0.145 0.500
0.000 0.000 0.000
0.500 0.500 0.000

=====

Most favorable first, least favorable last: a, b

=====

a:
TlSn2S2 PBE-GGA relaxed; space-group type = P4/mbm, No. 127; crystal system = tetragonal
1.0
8.442 0.000 0.000
0.000 8.442 0.000
0.000 0.000 3.832
S Tl Sn
4 2 4
direct
0.203 0.703 0.500
0.703 0.797 0.500
0.797 0.297 0.500
0.297 0.203 0.500
0.000 0.000 0.000
0.500 0.500 0.000
0.353 0.853 0.000
0.853 0.647 0.000
0.647 0.147 0.000
0.147 0.353 0.000

=====

b:
TlSn2S2 PBE-GGA relaxed; space-group type = I4/mmm, No. 139; crystal system = tetragonal
1.0
-3.146 -4.230 0.162
2.912 -2.016 3.908
-3.114 -0.763 5.486
S Tl Sn
2 1 2
direct
0.750 0.250 0.500
0.250 0.750 0.500
0.000 0.000 0.000
0.341 0.341 0.319
0.659 0.659 0.681

=====

Most favorable first, least favorable last: b, a

=====

a:
TlSn6S8 PBE-GGA relaxed; space-group type = P-3, No. 147; crystal system = trigonal
1.0
-3.357 2.291 0.249
1.133 2.758 -10.110
-5.639 -8.537 2.533
Tl Sn S
1 6 8
direct
0.500 0.000 0.000
0.752 0.679 0.141
0.752 0.859 0.537
0.752 0.463 0.321
0.248 0.321 0.859
0.248 0.141 0.463
0.248 0.537 0.679
0.747 0.970 0.299
0.747 0.701 0.671
0.747 0.329 0.030
0.253 0.030 0.701
0.253 0.299 0.329
0.253 0.671 0.970
0.748 0.333 0.667
0.252 0.667 0.333

=====

b:
TlSn6S8 PBE-GGA relaxed; space-group type = R-3, No. 148; crystal system = trigonal
1.0
6.853 0.000 0.000
3.426 5.935 0.000
3.426 1.978 9.619
Tl Sn S
1 6 8
direct
0.000 0.000 0.000
0.409 0.064 0.807
0.936 0.280 0.193
0.280 0.591 0.193
0.720 0.409 0.807
0.064 0.720 0.807
0.591 0.936 0.193
0.540 0.237 0.335
0.763 0.111 0.665
0.111 0.460 0.665
0.667 0.667 0.000
0.333 0.333 0.000
0.889 0.540 0.335
0.237 0.889 0.335
0.460 0.763 0.665

=====

Most favorable first, least favorable last: a, b

=====

a:
Tl3SnS3 PBE-GGA relaxed; space-group type = C2/m, No. 12; crystal system = monoclinic
1.0
8.563 0.538 0.407
0.524 6.896 -2.949
0.473 -0.188 7.501
Tl Sn S
6 2 6
direct
0.617 0.636 0.636
0.500 0.823 0.177
0.500 0.177 0.823
0.000 0.738 0.262
0.000 0.262 0.738
0.383 0.364 0.364
0.152 0.816 0.816
0.848 0.184 0.184
0.840 0.872 0.872
0.285 0.526 0.859
0.285 0.859 0.526
0.715 0.474 0.141
0.715 0.141 0.474
0.160 0.128 0.128

=====

b:
Tl3SnS3 PBE-GGA relaxed; space-group type = C2/m, No. 12; crystal system = monoclinic
1.0
7.012 0.112 -0.086
-3.024 6.328 -0.086
-0.637 -1.028 9.074
Tl Sn S
6 2 6
direct
0.614 0.614 0.353
0.170 0.830 0.500
0.830 0.170 0.500
0.290 0.710 0.000
0.710 0.290 0.000
0.386 0.386 0.647
0.870 0.870 0.808
0.130 0.130 0.192
0.782 0.782 0.066
0.864 0.519 0.707
0.519 0.864 0.707
0.136 0.481 0.293
0.481 0.136 0.293
0.218 0.218 0.934

=====

Most favorable first, least favorable last: b, a